[1]
VASP calculation (PBE-GGA) on an optimized crystal structure of TbPuNiN3.

Values from the calculation:
symmetry: No. 11
uncorrected formation energy: -0.85 eV per atom

The structure in POSCAR format:
```
TbPuNiN3
1.0
6.942 0.000 0.000
0.000 3.365 0.000
-1.089 0.000 7.065
Tb Pu Ni N
2 2 2 6
Cartesian
0.934 0.841 1.430
4.920 2.524 5.635
1.487 2.524 5.813
4.367 0.841 1.251
0.080 0.841 4.057
5.774 2.524 3.007
-0.069 0.841 6.084
0.786 2.524 3.418
2.766 2.524 0.981
3.087 0.841 6.084
5.067 0.841 3.647
5.923 2.524 0.981
```

***

[2]
VASP calculation (PBE-GGA) on an optimized crystal structure of Sr2BiIr2.

Values from the calculation:
energy relative to the lowest polymorph listed for this composition: 0.578 eV per atom
energy of formation from the pure elements: 0.367 eV/atom
symmetry: No. 127

The structure in POSCAR format:
```
Sr2BiIr2
1.0
8.794 0.000 0.000
0.000 8.794 0.000
0.000 0.000 3.243
Sr Bi Ir
4 2 4
Cartesian
1.153 3.244 0.000
3.244 7.641 0.000
5.550 1.153 0.000
7.641 5.550 0.000
0.000 0.000 0.000
4.397 4.397 0.000
1.512 5.909 1.621
2.885 1.512 1.621
5.909 7.281 1.621
7.281 2.885 1.621
```

***

[3]
VASP calculation (PBE-GGA) on an optimized crystal structure of CsHfCl6.

Values from the calculation:
symmetry: No. 12
uncorrected formation energy: -1.61 eV per atom

The structure in POSCAR format:
```
CsHfCl6
1.0
8.505 0.000 0.000
0.000 9.756 0.000
-1.563 0.000 6.533
Cs Hf Cl
2 2 12
Cartesian
0.000 0.000 0.000
4.253 4.878 0.000
-0.782 4.878 3.266
3.471 0.000 3.266
-0.319 3.161 4.954
-0.319 6.595 4.954
1.089 0.000 3.866
1.600 4.878 2.667
3.008 1.717 1.579
3.008 8.039 1.579
3.934 1.717 4.954
3.934 8.039 4.954
5.341 4.878 3.866
5.853 0.000 2.667
7.261 3.161 1.579
7.261 6.595 1.579
```

***

[4]
VASP calculation (PBE-GGA) on an optimized crystal structure of LiHfVRe2.

Values from the calculation:
energy of formation from the pure elements: 0.854 eV/atom
symmetry: No. 123

The structure in POSCAR format:
```
LiHfVRe2
1.0
4.493 0.000 0.000
0.000 4.493 0.000
0.000 0.000 3.736
Li Hf V Re
1 1 1 2
Cartesian
0.000 0.000 0.000
2.247 2.247 1.868
0.000 0.000 1.868
0.000 2.247 0.000
2.247 0.000 0.000
```

***

[5]
VASP calculation (PBE-GGA) on an optimized crystal structure of AlSbTe.

Values from the calculation:
energy relative to the lowest polymorph listed for this composition: 0.319 eV per atom
symmetry: No. 42
uncorrected formation energy: 0.18 eV per atom

The structure in POSCAR format:
```
AlSbTe
1.0
3.895 0.000 0.000
0.000 5.235 0.000
0.000 0.000 15.686
Al Sb Te
4 4 4
Cartesian
0.000 0.000 0.000
0.000 2.617 7.843
1.947 0.000 7.843
1.947 2.617 0.000
0.000 0.000 10.002
0.000 2.617 2.159
1.947 0.000 2.159
1.947 2.617 10.002
0.000 0.000 5.725
0.000 2.617 13.568
1.947 0.000 13.568
1.947 2.617 5.725
```

***

[6]
VASP calculation (PBE-GGA) on an optimized crystal structure of Pr3GeAs2Pt9.

Values from the calculation:
energy of formation from the pure elements: -0.586 eV/atom
symmetry: No. 164

The structure in POSCAR format:
```
Pr3GeAs2Pt9
1.0
6.613 0.000 0.000
-3.306 5.727 0.000
0.000 0.000 8.746
Pr Ge As Pt
3 1 2 9
Cartesian
0.000 0.000 0.000
0.000 3.818 6.201
3.306 1.909 2.544
0.000 0.000 4.373
0.000 3.818 1.672
3.306 1.909 7.074
-1.653 2.863 0.000
0.000 1.612 2.505
-1.910 4.921 2.505
1.396 0.806 6.240
3.306 0.000 0.000
1.653 2.863 0.000
1.910 4.921 2.505
5.217 0.806 6.240
3.306 4.115 6.240
```

***

[7]
VASP calculation (PBE-GGA) on an optimized crystal structure of Li2BePt.

Values from the calculation:
energy of formation from the pure elements: -0.429 eV/atom
symmetry: No. 12

The structure in POSCAR format:
```
Li2BePt
1.0
9.468 0.000 0.000
0.000 2.825 0.000
-1.589 0.000 3.578
Li Be Pt
4 2 2
Cartesian
1.881 0.000 0.854
1.264 1.412 2.725
6.616 1.412 0.854
5.998 0.000 2.725
0.000 1.412 0.000
4.734 0.000 0.000
-0.794 0.000 1.789
3.940 1.412 1.789
```

***

[8]
VASP calculation (PBE-GGA) on an optimized crystal structure of CeZnGe2Pd.

Values from the calculation:
energy of formation from the pure elements: -0.641 eV/atom
symmetry: No. 119

The structure in POSCAR format:
```
CeZnGe2Pd
1.0
4.200 0.000 0.000
0.000 4.200 0.000
0.000 0.000 10.746
Ce Zn Ge Pd
2 2 4 2
Cartesian
0.000 0.000 0.000
2.100 2.100 5.373
0.000 2.100 8.060
2.100 0.000 2.687
0.000 0.000 4.132
0.000 0.000 6.614
2.100 2.100 1.241
2.100 2.100 9.505
0.000 2.100 2.687
2.100 0.000 8.060
```

***

[9]
VASP calculation (PBE-GGA) on an optimized crystal structure of Os2RuBr2.

Values from the calculation:
symmetry: No. 139
uncorrected formation energy: 1.94 eV per atom

The structure in POSCAR format:
```
Os2RuBr2
1.0
4.098 0.000 0.000
0.000 4.098 0.000
0.000 0.000 11.078
Os Ru Br
4 2 4
Cartesian
0.000 2.049 2.770
0.000 2.049 8.309
2.049 0.000 2.770
2.049 0.000 8.309
0.000 0.000 0.000
2.049 2.049 5.539
0.000 0.000 4.163
0.000 0.000 6.915
2.049 2.049 1.376
2.049 2.049 9.702
```

***

[10]
VASP calculation (PBE-GGA) on an optimized crystal structure of CaAg2O4.

Values from the calculation:
energy relative to the lowest polymorph listed for this composition: 0.183 eV per atom
symmetry: No. 62
uncorrected formation energy: -0.76 eV per atom

The structure in POSCAR format:
```
CaAg2O4
1.0
9.590 0.000 0.000
0.000 3.343 0.000
0.000 0.000 11.226
Ca Ag O
4 8 16
Cartesian
2.335 0.836 1.746
2.460 2.507 7.359
7.130 0.836 3.866
7.255 2.507 9.479
0.626 0.836 4.354
0.778 0.836 10.019
4.017 2.507 4.406
4.169 2.507 9.967
5.421 0.836 1.259
5.573 0.836 6.820
8.812 2.507 1.207
8.963 2.507 6.872
0.153 2.507 8.748
0.997 0.836 6.401
1.124 2.507 0.361
2.129 2.507 3.565
2.666 0.836 9.178
3.671 0.836 5.974
3.798 2.507 0.788
4.642 0.836 3.135
4.948 2.507 8.091
5.791 0.836 10.438
5.919 2.507 5.252
6.924 2.507 2.048
7.461 0.836 7.661
8.466 0.836 10.865
8.593 2.507 4.825
9.437 0.836 2.478
```

***

[11]
VASP calculation (PBE-GGA) on an optimized crystal structure of BiBIr3.

Values from the calculation:
energy relative to the lowest polymorph listed for this composition: 2.770 eV per atom
energy of formation from the pure elements: 3.007 eV/atom
symmetry: No. 221

The structure in POSCAR format:
```
BiBIr3
1.0
5.026 0.000 0.000
0.000 5.026 0.000
0.000 0.000 5.026
Bi B Ir
1 1 3
Cartesian
0.000 0.000 0.000
2.513 2.513 2.513
0.000 0.000 2.513
0.000 2.513 0.000
2.513 0.000 0.000
```

***

[12]
VASP calculation (PBE-GGA) on an optimized crystal structure of Ho7Er4Tm2.

Values from the calculation:
energy of formation from the pure elements: 0.019 eV/atom
symmetry: No. 2

The structure in POSCAR format:
```
Ho7Er4Tm2
1.0
6.067 0.000 0.000
1.019 7.739 0.000
0.972 3.808 8.411
Ho Er Tm
7 4 2
Cartesian
0.000 0.000 0.000
2.003 9.185 5.823
2.024 4.461 0.647
3.018 3.548 3.883
5.040 7.999 4.528
6.034 7.086 7.764
6.055 2.361 2.588
3.005 5.903 6.468
3.026 1.179 1.296
5.032 10.367 7.115
5.053 5.643 1.943
2.012 6.820 3.236
6.046 4.726 5.175
```

***

[13]
VASP calculation (PBE-GGA) on an optimized crystal structure of BaB2Mo.

Values from the calculation:
energy relative to the lowest polymorph listed for this composition: 1.141 eV per atom
energy of formation from the pure elements: 1.687 eV/atom
symmetry: No. 225

The structure in POSCAR format:
```
BaB2Mo
1.0
6.501 0.000 0.000
0.000 6.501 0.000
0.000 0.000 6.501
Ba B Mo
4 8 4
Cartesian
0.000 0.000 0.000
0.000 3.250 3.250
3.250 0.000 3.250
3.250 3.250 0.000
1.625 1.625 1.625
1.625 1.625 4.876
1.625 4.876 1.625
1.625 4.876 4.876
4.876 1.625 1.625
4.876 1.625 4.876
4.876 4.876 1.625
4.876 4.876 4.876
0.000 0.000 3.250
0.000 3.250 0.000
3.250 0.000 0.000
3.250 3.250 3.250
```

***

[14]
VASP calculation (PBE-GGA) on an optimized crystal structure of Y4MoP.

Values from the calculation:
energy of formation from the pure elements: 0.881 eV/atom
symmetry: No. 216

The structure in POSCAR format:
```
Y4MoP
1.0
0.000 4.245 4.245
4.245 0.000 4.245
4.245 4.245 0.000
Y Mo P
4 1 1
Cartesian
1.049 1.049 1.049
3.195 3.195 1.049
3.195 1.049 3.195
1.049 3.195 3.195
6.367 6.367 6.367
4.245 4.245 4.245
```

***

[15]
VASP calculation (PBE-GGA) on an optimized crystal structure of PmScSn.

Values from the calculation:
energy relative to the lowest polymorph listed for this composition: 0.000 eV per atom
energy of formation from the pure elements: -0.631 eV/atom
symmetry: No. 129

The structure in POSCAR format:
```
PmScSn
1.0
4.490 0.000 0.000
0.000 4.490 0.000
0.000 0.000 8.294
Pm Sc Sn
2 2 2
Cartesian
1.122 1.122 1.256
3.367 3.367 7.038
1.122 3.367 4.147
3.367 1.122 4.147
1.122 1.122 6.231
3.367 3.367 2.063
```

***

[16]
VASP calculation (PBE-GGA) on an optimized crystal structure of BaZnRe4.

Values from the calculation:
energy of formation from the pure elements: 0.884 eV/atom
symmetry: No. 216

The structure in POSCAR format:
```
BaZnRe4
1.0
0.000 3.854 3.854
3.854 0.000 3.854
3.854 3.854 0.000
Ba Zn Re
1 1 4
Cartesian
0.000 0.000 0.000
1.927 1.927 1.927
4.813 2.895 2.895
2.895 4.813 2.895
2.895 2.895 4.813
4.813 4.813 4.813
```

***

[17]
VASP calculation (PBE-GGA) on an optimized crystal structure of CrOs2W.

Values from the calculation:
energy relative to the lowest polymorph listed for this composition: 0.147 eV per atom
energy of formation from the pure elements: 0.238 eV/atom
symmetry: No. 123

The structure in POSCAR format:
```
CrOs2W
1.0
3.094 0.000 0.000
0.000 3.094 0.000
0.000 0.000 6.054
Cr Os W
1 2 1
Cartesian
0.000 0.000 0.000
1.547 1.547 1.406
1.547 1.547 4.648
0.000 0.000 3.027
```

***

[18]
VASP calculation (PBE-GGA) on an optimized crystal structure of Ba2PW.

Values from the calculation:
energy of formation from the pure elements: 0.731 eV/atom
symmetry: No. 10

The structure in POSCAR format:
```
Ba2PW
1.0
4.089 0.000 0.000
0.000 4.140 0.000
-0.010 0.000 7.340
Ba P W
2 1 1
Cartesian
0.001 0.000 2.019
4.078 0.000 5.321
2.039 2.070 3.670
2.044 2.070 0.000
```

***

[19]
VASP calculation (PBE-GGA) on an optimized crystal structure of SbCBr2.

Values from the calculation:
energy relative to the lowest polymorph listed for this composition: 0.312 eV per atom
symmetry: No. 225
uncorrected formation energy: 1.63 eV per atom

The structure in POSCAR format:
```
SbCBr2
1.0
7.090 0.000 0.000
0.000 7.090 0.000
0.000 0.000 7.090
Sb C Br
4 4 8
Cartesian
0.000 0.000 0.000
0.000 3.545 3.545
3.545 0.000 3.545
3.545 3.545 0.000
0.000 0.000 3.545
0.000 3.545 0.000
3.545 0.000 0.000
3.545 3.545 3.545
1.773 1.773 1.773
1.773 1.773 5.318
1.773 5.318 1.773
1.773 5.318 5.318
5.318 1.773 1.773
5.318 1.773 5.318
5.318 5.318 1.773
5.318 5.318 5.318
```

***

[20]
VASP calculation (PBE-GGA) on an optimized crystal structure of PaNiAsN.

Values from the calculation:
symmetry: No. 107
uncorrected formation energy: -0.76 eV per atom

The structure in POSCAR format:
```
PaNiAsN
1.0
3.302 0.000 0.000
0.000 3.302 0.000
0.000 0.000 11.458
Pa Ni As N
2 2 2 2
Cartesian
0.000 0.000 0.000
1.651 1.651 5.729
0.000 0.000 7.990
1.651 1.651 2.261
0.000 0.000 3.107
1.651 1.651 8.836
0.000 0.000 6.070
1.651 1.651 0.342
```

***

| no. | total moment (μB/f.u.) | theoretical density (g cm⁻³) |
| --- | --- | --- |
| 1 | 3.205 | 10.133 |
| 2 | 0.000 | 10.180 |
| 3 | 1.019 | 3.211 |
| 4 | 0.613 | 13.401 |
| 5 | 0.000 | 5.739 |
| 6 | 0.000 | 12.038 |
| 7 | 0.000 | 7.565 |
| 8 | 0.740 | 8.009 |
| 9 | 1.703 | 11.448 |
| 10 | 0.000 | 5.903 |
| 11 | 0.989 | 10.416 |
| 12 | 0.000 | 9.088 |
| 13 | 1.948 | 6.162 |
| 14 | 0.000 | 5.239 |
| 15 | 0.696 | 6.132 |
| 16 | 0.000 | 13.746 |
| 17 | 2.452 | 17.658 |
| 18 | 4.033 | 6.542 |
| 19 | 1.983 | 5.470 |
| 20 | 0.000 | 10.065 |